Record 1
A relaxed Tb3Er2Pt2 crystal. Source: Alexandria, functional PBE.

Magnetization: 0.0 μB/cell
Calculated volume: 26.67 A^3/atom
Space group: C2/m
Crystal system: monoclinic
Energy of formation: -0.785 eV per atom

Geometry as extended XYZ:
```
7
Lattice="-2.5757 -1.4928 -2.2884 -1.5833 -1.6982 5.9705 -2.2043 8.3284 0.1289" Properties=species:S:1:pos:R:3 pbc="T T T"
Tb -1.2878 -0.7464 -1.1442
Tb -2.9653 3.0957 4.3989
Tb -3.3980 2.0418 -0.5880
Er -4.2264 4.9875 1.5036
Er -2.1369 0.1499 2.3073
Pt -2.0794 0.3843 5.1703
Pt -4.2839 4.7532 -1.3594
```

=====

Record 2
A relaxed PmErAg4 crystal. Source: Alexandria, functional PBE.

Magnetization: 0.0 μB/cell
Calculated volume: 22.15 A^3/atom
Space group: F-43m
Crystal system: cubic
Energy of formation: -0.165 eV per atom
Relative energy among the computed polymorphs: 124 meV/atom

Geometry as extended XYZ:
```
6
Lattice="-0.3482 5.6580 0.8209 -2.9659 3.2489 -3.6682 -4.9599 2.3580 1.6269" Properties=species:S:1:pos:R:3 pbc="T T T"
Pm 0.0000 0.0000 0.0000
Ag -2.6951 5.8610 -1.5737
Ag -3.6895 5.4167 1.0670
Ag -5.1686 7.0369 -0.7624
Ag -4.9950 4.2153 -1.1717
Er -2.0685 2.8162 -0.3051
```

=====

Record 3
A relaxed DyNp2UAs4 crystal. Source: Alexandria, functional PBE.

Magnetization: 2.4 μB/cell
Calculated volume: 24.30 A^3/atom
Space group: P2/m
Crystal system: monoclinic
Energy of formation: -0.880 eV per atom

Geometry as extended XYZ:
```
8
Lattice="4.0931 0.0000 0.0000 0.0000 7.1005 0.1220 0.0000 -2.4809 6.6466" Properties=species:S:1:pos:R:3 pbc="T T T"
Dy 2.0466 3.5503 0.0610
Np 2.0466 -1.2404 3.3233
Np 0.0000 2.3098 3.3843
U 0.0000 0.0000 0.0000
As 2.0466 1.1515 1.6827
As 2.0466 3.4681 5.0859
As 0.0000 -0.1036 5.0167
As 0.0000 4.7233 1.7520
```

=====

Record 4
A relaxed GaOs2Se crystal. Source: Alexandria, functional PBE.

Magnetization: 0.0 μB/cell
Calculated volume: 21.19 A^3/atom
Uncorrected formation energy: 0.982 eV per atom
Space group: I-42d
Crystal system: tetragonal
Relative energy among the computed polymorphs: 465 meV/atom

Geometry as extended XYZ:
```
8
Lattice="5.6749 0.0000 0.0000 0.0000 5.6749 0.0000 2.8374 2.8374 5.2648" Properties=species:S:1:pos:R:3 pbc="T T T"
Os 4.3423 1.4187 1.3162
Os 1.3325 4.2561 1.3162
Os 4.2561 4.1700 3.9486
Os 7.0936 7.1798 3.9486
Ga 2.8374 2.8374 0.0000
Ga 2.8374 5.6749 2.6324
Se 0.0000 0.0000 0.0000
Se 5.6749 2.8374 2.6324
```

=====

Record 5
A relaxed Dy5ErTl crystal. Source: Alexandria, functional PBE.

Magnetization: 0.0 μB/cell
Calculated volume: 40.70 A^3/atom
Space group: Imm2
Crystal system: orthorhombic
Energy of formation: 0.811 eV per atom

Geometry as extended XYZ:
```
7
Lattice="-4.5559 -0.2428 3.7362 -5.0977 -2.2024 -6.3592 5.9502 -4.2973 2.3227" Properties=species:S:1:pos:R:3 pbc="T T T"
Dy 0.5245 -2.7491 0.5317
Dy -3.2276 -1.1374 -2.6230
Dy -4.2971 -3.9972 -0.7752
Dy -6.0935 -1.9215 -3.7196
Dy -2.7593 -0.4810 0.4398
Er -5.5448 -1.2609 -0.7227
Tl -4.0305 -0.2148 3.3053
```

=====

Record 6
A relaxed PmNd5Bi6 crystal. Source: Alexandria, functional PBE.

Magnetization: 0.0 μB/cell
Calculated volume: 34.52 A^3/atom
Space group: C2/m
Crystal system: monoclinic
Energy of formation: -0.949 eV per atom

Geometry as extended XYZ:
```
12
Lattice="7.9731 0.2183 0.0000 2.4543 7.5881 0.0000 1.2271 3.7940 6.9081" Properties=species:S:1:pos:R:3 pbc="T T T"
Pm 0.0000 0.0000 0.0000
Nd 5.2137 3.9032 4.6014
Nd 1.2271 3.7941 2.3019
Nd 5.2137 3.9032 0.0000
Nd 2.4543 7.5881 4.6061
Nd 6.4408 7.6972 2.3067
Bi 6.5973 2.0557 2.2960
Bi 3.8301 5.7507 2.2960
Bi 2.6008 1.9452 0.0000
Bi 7.8265 5.8612 0.0000
Bi 7.8244 5.8497 4.6120
Bi 5.0572 9.5447 4.6120
```

=====

Record 7
A relaxed RbTaCl5 crystal. Source: Alexandria, functional PBE.

Magnetization: 2.1 μB/cell
Calculated volume: 33.74 A^3/atom
Uncorrected formation energy: -1.441 eV per atom
Space group: C2/c
Crystal system: monoclinic

Geometry as extended XYZ:
```
14
Lattice="-3.8630 -1.4748 6.7415 3.3445 -2.9139 6.5474 1.6535 7.4541 6.1306" Properties=species:S:1:pos:R:3 pbc="T T T"
Rb 0.9795 3.3965 11.2425
Rb 0.1555 -0.3311 8.1771
Ta 0.0000 0.0000 0.0000
Ta 0.8267 3.7271 3.0653
Cl 3.1581 3.8078 14.0313
Cl 2.3121 0.1344 10.9729
Cl -1.5509 0.8559 11.0706
Cl -2.5872 4.1087 11.3385
Cl 1.8205 -1.5596 5.2783
Cl -0.6855 4.6251 14.1412
Cl 3.7223 -1.0433 8.0810
Cl 2.6859 2.2095 8.3490
Cl -1.1771 2.9310 8.4466
Cl -2.0231 -0.7424 5.3882
```

=====

Record 8
A relaxed RbAg2P2S7 crystal. Source: Alexandria, functional PBE.

Magnetization: 1.1 μB/cell
Calculated volume: 32.69 A^3/atom
Uncorrected formation energy: -0.193 eV per atom
Space group: R32
Crystal system: trigonal

Geometry as extended XYZ:
```
12
Lattice="-4.8110 -2.6797 -3.4168 0.0568 -6.3614 -1.2372 -7.0461 -4.8360 7.5677" Properties=species:S:1:pos:R:3 pbc="T T T"
Rb -5.9002 -6.9385 1.4568
Ag -8.9589 -10.4441 2.3666
Ag -2.8415 -3.4330 0.5470
P -5.8954 -9.4219 -2.7486
P -5.9049 -4.4552 5.6622
S -2.8584 -7.4058 -0.0193
S -4.8046 -4.4380 -0.5918
S -5.9210 -7.5982 -1.8920
S -7.0318 -5.4073 4.2896
S -8.9285 -7.9772 2.6401
S 0.0000 0.0000 0.0000
S -5.8568 -8.8047 4.3144
```

=====

Record 9
A relaxed LiAsOs2 crystal. Source: Alexandria, functional PBE.

Magnetization: 0.0 μB/cell
Calculated volume: 14.17 A^3/atom
Space group: Cm
Crystal system: monoclinic
Energy of formation: 0.265 eV per atom

Geometry as extended XYZ:
```
4
Lattice="4.4292 0.0102 -0.0164 3.5015 2.7126 -0.0164 0.7282 0.2500 4.7302" Properties=species:S:1:pos:R:3 pbc="T T T"
As 4.2787 1.4689 2.1639
Li 2.1577 0.7408 1.2357
Os 0.0518 0.0178 0.0375
Os 6.5002 2.2316 3.6089
```

=====

Record 10
A relaxed BeNiAu3 crystal. Source: Alexandria, functional PBE.

Magnetization: 0.0 μB/cell
Calculated volume: 21.05 A^3/atom
Space group: Pm-3m
Crystal system: cubic
Energy of formation: 1.025 eV per atom
Relative energy among the computed polymorphs: 632 meV/atom

Geometry as extended XYZ:
```
5
Lattice="4.7216 0.0000 0.0000 0.0000 4.7216 0.0000 0.0000 0.0000 4.7216" Properties=species:S:1:pos:R:3 pbc="T T T"
Ni 0.0000 0.0000 0.0000
Au 0.0000 2.3608 0.0000
Au 0.0000 0.0000 2.3608
Au 2.3608 0.0000 0.0000
Be 2.3608 2.3608 2.3608
```

=====

Record 11
A relaxed EuH2Pd crystal. Source: Alexandria, functional PBE.

Magnetization: 6.7 μB/cell
Calculated volume: 13.16 A^3/atom
Space group: R-3m
Crystal system: trigonal
Relative energy among the computed polymorphs: 0 meV/atom

Geometry as extended XYZ:
```
4
Lattice="-1.6588 -3.5109 -0.0353 0.9459 -2.6216 2.7040 -3.1960 -0.6702 3.2565" Properties=species:S:1:pos:R:3 pbc="T T T"
Eu 0.0000 0.0000 0.0000
H -2.6649 -5.2259 4.2305
H -1.2440 -1.5768 1.6947
Pd -1.9544 -3.4014 2.9626
```

=====

Record 12
A relaxed AuSeO crystal. Source: Alexandria, functional PBE.

Magnetization: 0.0 μB/cell
Calculated volume: 19.71 A^3/atom
Uncorrected formation energy: -0.108 eV per atom
Space group: Cm
Crystal system: monoclinic
Relative energy among the computed polymorphs: 0 meV/atom

Geometry as extended XYZ:
```
6
Lattice="-0.4704 -3.2498 -4.2005 1.6209 -2.0651 1.4161 -6.0268 -1.6214 4.5338" Properties=species:S:1:pos:R:3 pbc="T T T"
Au -3.3632 -3.4896 -1.2392
Au -5.5662 -5.3328 1.7358
Se -2.3832 -1.2862 0.8521
Se -4.5861 -3.1294 3.8271
O -3.6603 -2.4748 0.5806
O 0.1635 -2.6967 -0.9782
```

=====

Record 13
A relaxed ReNiOs2 crystal. Source: Alexandria, functional PBE.

Magnetization: 0.0 μB/cell
Calculated volume: 13.86 A^3/atom
Space group: Cm
Crystal system: monoclinic
Energy of formation: 0.128 eV per atom
Relative energy among the computed polymorphs: 25 meV/atom

Geometry as extended XYZ:
```
4
Lattice="-0.3507 -4.6698 0.0692 2.2854 -4.0847 -0.1640 0.5608 -0.7180 4.5367" Properties=species:S:1:pos:R:3 pbc="T T T"
Ni 0.6244 -2.3667 1.1196
Os 0.5689 -0.7605 4.5224
Os 1.8717 -7.0957 3.3538
Re 1.2391 -4.7039 2.2037
```

=====

Record 14
A relaxed AgHgS3 crystal. Source: Alexandria, functional PBE.

Magnetization: 0.0 μB/cell
Calculated volume: 22.97 A^3/atom
Uncorrected formation energy: 0.790 eV per atom
Space group: Pm-3m
Crystal system: cubic
Relative energy among the computed polymorphs: 730 meV/atom

Geometry as extended XYZ:
```
5
Lattice="4.8610 0.0000 0.0000 0.0000 4.8610 0.0000 0.0000 0.0000 4.8610" Properties=species:S:1:pos:R:3 pbc="T T T"
S 0.0000 2.4305 0.0000
S 0.0000 0.0000 2.4305
S 2.4305 0.0000 0.0000
Hg 2.4305 2.4305 2.4305
Ag 0.0000 0.0000 0.0000
```

=====

Record 15
A relaxed BeTlCr2 crystal. Source: Alexandria, functional PBE.

Magnetization: 0.1 μB/cell
Calculated volume: 14.99 A^3/atom
Space group: Cm
Crystal system: monoclinic
Energy of formation: 0.612 eV per atom
Relative energy among the computed polymorphs: 189 meV/atom

Geometry as extended XYZ:
```
4
Lattice="-3.8360 -2.2520 -0.0633 -2.2170 -3.1031 2.2903 -2.7913 2.7772 2.9243" Properties=species:S:1:pos:R:3 pbc="T T T"
Cr -6.0762 -5.2895 2.2667
Cr -2.0833 -0.9413 1.0926
Tl -4.4914 -1.2441 2.6395
Be -6.6685 -1.7470 3.9552
```

=====

Record 16
A relaxed Pr2CdSn2 crystal. Source: Alexandria, functional PBE.

Magnetization: 0.0 μB/cell
Calculated volume: 28.80 A^3/atom
Space group: C2/m
Crystal system: monoclinic
Energy of formation: -0.630 eV per atom

Geometry as extended XYZ:
```
10
Lattice="4.6071 0.0000 1.0851 2.1707 5.9689 1.1067 -0.0349 0.0777 10.4711" Properties=species:S:1:pos:R:3 pbc="T T T"
Pr 2.0261 1.5675 1.7205
Pr 2.9875 2.0067 7.9616
Pr 4.7167 4.4791 10.9424
Pr 3.7554 4.0399 4.7013
Cd 3.8099 0.4702 4.4697
Cd 2.9329 5.5764 8.1932
Sn 4.7969 1.2046 10.6021
Sn 1.2603 1.7216 4.9719
Sn 1.9459 4.8420 2.0608
Sn 5.4825 4.3250 7.6910
```

=====

Record 17
A relaxed Ho3Th2Mg crystal. Source: Alexandria, functional PBE.

Magnetization: 0.0 μB/cell
Calculated volume: 30.25 A^3/atom
Space group: P4/mmm
Crystal system: tetragonal
Energy of formation: -0.018 eV per atom

Geometry as extended XYZ:
```
6
Lattice="-1.2802 -2.0389 2.6409 -0.8723 -2.5257 -2.3728 12.8070 -5.9441 1.6191" Properties=species:S:1:pos:R:3 pbc="T T T"
Ho 0.0000 0.0000 0.0000
Ho 8.3840 -3.8912 1.0599
Ho 4.4230 -2.0528 0.5592
Th 9.4744 -7.1791 1.4679
Th 1.1802 -3.3296 0.4193
Mg 5.3273 -5.2544 0.9436
```

=====

Record 18
A relaxed NbCd2Bi crystal. Source: Alexandria, functional PBE.

Magnetization: 0.0 μB/cell
Calculated volume: 24.93 A^3/atom
Space group: R-3m
Crystal system: trigonal
Energy of formation: 0.611 eV per atom

Geometry as extended XYZ:
```
4
Lattice="-0.7911 0.5231 -2.9687 -2.9749 0.5540 -0.7455 0.5127 11.9738 0.3375" Properties=species:S:1:pos:R:3 pbc="T T T"
Nb 0.0000 0.0000 0.0000
Bi -1.6266 6.5255 -1.6884
Cd 0.0766 9.1091 -0.0511
Cd -3.3299 3.9418 -3.3256
```

=====

Record 19
A relaxed CuMoPb2 crystal. Source: Alexandria, functional PBE.

Magnetization: 0.8 μB/cell
Calculated volume: 21.15 A^3/atom
Space group: P4/mmm
Crystal system: tetragonal
Energy of formation: 0.755 eV per atom
Relative energy among the computed polymorphs: 320 meV/atom

Geometry as extended XYZ:
```
4
Lattice="3.1648 0.0000 0.0000 0.0000 3.1648 0.0000 0.0000 0.0000 8.4455" Properties=species:S:1:pos:R:3 pbc="T T T"
Cu 1.5824 1.5824 2.1114
Mo 1.5824 1.5824 6.3341
Pb 0.0000 0.0000 0.0171
Pb 0.0000 0.0000 4.2056
```

=====

Record 20
A relaxed SrSn2HCl crystal. Source: Alexandria, functional PBE.

Magnetization: 0.0 μB/cell
Calculated volume: 25.61 A^3/atom
Space group: P4/mmm
Crystal system: tetragonal
Uncorrected energy: -3.44 eV per atom

Geometry as extended XYZ:
```
5
Lattice="-3.7232 2.1732 0.7073 -3.0480 -3.6930 -4.6979 -1.1326 -2.9289 3.0372" Properties=species:S:1:pos:R:3 pbc="T T T"
Sr -1.5240 -1.8465 -2.3490
Sn -0.5663 -1.4644 1.5186
Sn -1.8616 1.0866 0.3536
H 0.0000 0.0000 0.0000
Cl -3.9519 -2.2243 -0.4767
```

=====

Record 21
A relaxed LaPr6Nd3 crystal. Source: Alexandria, functional PBE.

Magnetization: 0.0 μB/cell
Calculated volume: 35.97 A^3/atom
Space group: Cmc2_1
Crystal system: orthorhombic
Energy of formation: 0.122 eV per atom
Relative energy among the computed polymorphs: 0 meV/atom

Geometry as extended XYZ:
```
20
Lattice="-5.5006 3.2976 -1.2212 1.7251 -1.2345 -11.1046 -5.9086 -7.7179 5.7736" Properties=species:S:1:pos:R:3 pbc="T T T"
La -5.0100 -6.1840 2.4925
La -2.9877 -0.4818 -8.6703
Pr -2.7983 -5.5446 -4.3045
Pr -6.1567 -4.4123 -3.5704
Pr -6.7574 -6.7166 -0.8918
Pr -6.3336 -2.3720 -8.5203
Pr -0.5297 -0.2686 -10.9572
Pr -7.2812 -3.7593 0.2029
Pr -1.2259 -2.6012 -6.4937
Pr -10.3812 -4.6508 4.1327
Pr -4.7584 -2.4388 1.6555
Pr -4.3346 1.9058 -5.9729
Pr -1.3874 -2.5255 -2.5067
Pr -4.7459 -1.3932 -1.7726
Nd -5.0889 -5.0945 -6.9422
Nd -9.6346 -4.9704 -3.5833
Nd -3.5116 -4.9311 -0.7874
Nd -4.4589 -1.7510 -5.3843
Nd -6.9219 0.8345 -0.1265
Nd -2.3763 0.7105 -3.4854
```

=====

Record 22
A relaxed Pm2Pr2Bi3 crystal. Source: Alexandria, functional PBE.

Magnetization: 0.0 μB/cell
Calculated volume: 32.57 A^3/atom
Space group: I2_13
Crystal system: cubic
Energy of formation: -0.832 eV per atom

Geometry as extended XYZ:
```
14
Lattice="-0.9833 -7.9224 2.6069 7.7244 0.9727 -3.1487 -1.0597 5.2321 6.4829" Properties=species:S:1:pos:R:3 pbc="T T T"
Pm -0.9108 4.4972 5.5723
Pm 5.6179 -0.5091 1.8385
Pm 4.1304 2.8611 2.5017
Pm 3.5087 -2.3620 -0.6371
Pr 1.7162 -1.0004 3.4290
Pr -0.3756 1.8544 2.2977
Pr 0.3355 -4.2112 2.1684
Pr 3.0221 -6.2827 0.6530
Bi 3.7168 -3.3496 2.4303
Bi 6.3568 -0.4977 -1.3049
Bi 4.2589 0.3657 4.9079
Bi 0.4012 -3.4285 5.5782
Bi -0.2220 1.0996 5.4481
Bi 2.5329 0.6576 0.7639
```

=====

Record 23
A relaxed BiPdS6 crystal. Source: Alexandria, functional PBE.

Magnetization: 0.0 μB/cell
Calculated volume: 26.58 A^3/atom
Uncorrected formation energy: -0.069 eV per atom
Space group: P-1
Crystal system: triclinic

Geometry as extended XYZ:
```
8
Lattice="6.8264 -0.9104 -5.4941 -1.3166 5.3472 0.0776 -4.0701 0.5071 9.3055" Properties=species:S:1:pos:R:3 pbc="T T T"
Bi 0.7198 2.4720 1.9445
Pd 0.0000 0.0000 0.0000
S 0.8694 4.4235 -0.1538
S -2.2403 4.5575 3.5888
S 4.9723 2.8177 -3.7490
S 3.6799 0.3864 0.3003
S 0.5703 0.5204 4.0429
S -3.5326 2.1262 7.6380
```

=====

Record 24
A relaxed PuZrPt4 crystal. Source: Alexandria, functional PBE.

Magnetization: 5.9 μB/cell
Calculated volume: 18.45 A^3/atom
Space group: F-43m
Crystal system: cubic
Energy of formation: -0.792 eV per atom

Geometry as extended XYZ:
```
6
Lattice="-0.7836 -5.1941 1.2052 3.4007 -3.7419 -1.8652 3.3561 -2.5173 3.3830" Properties=species:S:1:pos:R:3 pbc="T T T"
Zr 0.0000 0.0000 0.0000
Pt 2.0553 -5.8996 0.0106
Pt 2.0331 -5.2875 2.6343
Pt 3.7331 -7.1581 1.7018
Pt 4.1249 -4.5615 1.0993
Pu 1.4933 -2.8633 0.6808
```